Compound: DyCuNi
Source: the Alexandria database
Functional: PBE-GGA
Structure: optimized geometry

## Properties
- theoretical density (g/cm3) = 9.33
- energy above the lowest structure with this stoichiometry (kJ/mol of atoms) = 24.0
- total moment (Bohr magnetons per cell) = 0.000
- ΔE_f (eV per atom) = -0.0909
- N(E_F) (states/eV/f.u.) = 1.2

Unit cell a=9.280 b=5.146 c=4.989 alpha=90.00 beta=121.69 gamma=90.00
Space group C2/m (No. 12)
Unique sites:
Dy 0.127 0.000 0.376
Cu 0.250 0.250 0.000
Ni 0.020 0.500 0.269


Compound: Ba2DyErS4
Source: the Alexandria database
Functional: PBE-GGA
Structure: optimized geometry

## Properties
- theoretical density (g/cm3) = 5.86
- uncorrected formation energy (eV per atom) = -2.001
- total moment (Bohr magnetons per cell) = 0.000
- N(E_F) (states/eV/f.u.) = 3.7

Unit cell a=7.088 b=4.105 c=7.520 alpha=90.00 beta=108.42 gamma=90.00
Space group P2/m (No. 10)
Unique sites:
Ba 0.000 0.000 0.000
Ba 0.500 0.500 0.000
Dy 0.000 0.500 0.500
Er 0.500 0.000 0.500
S 0.238 0.000 0.707
S 0.266 0.500 0.294


Compound: ZrSc2Cd
Source: the Alexandria database
Functional: PBE-GGA
Structure: optimized geometry

## Properties
- theoretical density (g/cm3) = 5.36
- energy above the lowest structure with this stoichiometry (kJ/mol of atoms) = 15.7
- total moment (Bohr magnetons per cell) = 0.759
- ΔE_f (eV per atom) = -0.0097
- N(E_F) (states/eV/f.u.) = 6.1

Unit cell a=3.390 b=5.023 c=5.341 alpha=90.00 beta=90.00 gamma=90.00
Space group Pmmm (No. 47)
Unique sites:
Zr 0.000 0.000 0.000
Sc 0.000 0.500 0.500
Sc 0.500 0.500 0.000
Cd 0.500 0.000 0.500


Compound: Tb3NdTm
Source: the Alexandria database
Functional: PBE-GGA
Structure: optimized geometry

## Properties
- theoretical density (g/cm3) = 8.16
- energy above the lowest structure with this stoichiometry (kJ/mol of atoms) = 0.0
- total moment (Bohr magnetons per cell) = 0.000
- ΔE_f (eV per atom) = 0.0195
- N(E_F) (states/eV/f.u.) = 6.9

Unit cell a=11.276 b=5.046 c=11.302 alpha=90.00 beta=90.14 gamma=90.00
Space group C2/m (No. 12)
Unique sites:
Tb 0.049 0.000 0.154
Tb 0.051 0.500 0.647
Tb 0.248 0.500 0.255
Nd 0.150 0.500 0.948
Tm 0.150 0.000 0.451


Compound: Zn2CdFeB
Source: the Alexandria database
Functional: PBE-GGA
Structure: optimized geometry

## Properties
- theoretical density (g/cm3) = 4.38
- total moment (Bohr magnetons per cell) = 2.991
- ΔE_f (eV per atom) = 1.7645
- N(E_F) (states/eV/f.u.) = 4.5

Unit cell a=4.843 b=4.843 c=5.013 alpha=90.00 beta=90.00 gamma=90.00
Space group P4/mmm (No. 123)
Unique sites:
Zn 0.000 0.500 0.000
Cd 0.000 0.000 0.000
Fe 0.000 0.000 0.500
B 0.500 0.500 0.500


Compound: Hf6FeBi2
Source: the Alexandria database
Functional: PBE-GGA
Structure: optimized geometry

## Properties
- theoretical density (g/cm3) = 10.40
- total moment (Bohr magnetons per cell) = 0.000
- ΔE_f (eV per atom) = 0.3717
- N(E_F) (states/eV/f.u.) = 8.6

Unit cell a=5.830 b=5.830 c=14.509 alpha=90.00 beta=90.00 gamma=90.00
Space group P4_2/mnm (No. 136)
Unique sites:
Hf 0.189 0.189 0.000
Hf 0.199 0.199 0.390
Fe 0.000 0.000 0.500
Bi 0.000 0.000 0.208